No. 1
A relaxed ScCoSi2Rh crystal, computed with GGA-PBE. Values from VASP.

Computed properties:
Energy relative to the elements, uncorrected (eV per formula unit): -4.43

```
&SYSTEM
  ibrav = 0, nat = 5, ntyp = 4
/
ATOMIC_SPECIES
Rh 102.91 Rh.upf
Si 28.09 Si.upf
Sc 44.96 Sc.upf
Co 58.93 Co.upf
CELL_PARAMETERS angstrom
-1.104 1.824 -3.246
3.202 -1.263 -1.798
-3.438 -4.287 1.082
ATOMIC_POSITIONS angstrom
Rh -1.746 -1.091 -2.343
Si 0.474 -0.685 -2.869
Si -1.813 -3.041 -1.093
Sc 0.000 0.000 0.000
Co 0.407 -2.635 -1.619
```

No. 2
A relaxed ScCoSnRh crystal, computed with GGA-PBE. Values from VASP.

Computed properties:
ΔE_f (eV/atom): -0.63

```
&SYSTEM
  ibrav = 0, nat = 4, ntyp = 4
/
ATOMIC_SPECIES
Sc 44.96 Sc.upf
Co 58.93 Co.upf
Rh 102.91 Rh.upf
Sn 118.71 Sn.upf
CELL_PARAMETERS angstrom
-2.433 -3.691 -0.786
1.672 -4.046 0.998
-1.695 -2.345 3.433
ATOMIC_POSITIONS angstrom
Sc -0.614 -2.521 0.911
Co -1.228 -5.041 1.822
Rh 0.000 0.000 0.000
Sn -1.842 -7.562 2.733
```

No. 3
A relaxed ScTaCoRh crystal, computed with GGA-PBE. Values from VASP.

Computed properties:
ΔE_f (eV/atom): -0.42

```
&SYSTEM
  ibrav = 0, nat = 4, ntyp = 4
/
ATOMIC_SPECIES
Sc 44.96 Sc.upf
Ta 180.95 Ta.upf
Rh 102.91 Rh.upf
Co 58.93 Co.upf
CELL_PARAMETERS angstrom
4.464 0.000 0.000
2.232 3.866 0.000
2.232 1.289 3.645
ATOMIC_POSITIONS angstrom
Sc 4.464 2.577 1.822
Ta 0.000 0.000 0.000
Rh 6.695 3.866 2.733
Co 2.232 1.289 0.911
```

No. 4
A relaxed TbScCoRh crystal, computed with GGA-PBE. Values from VASP.

Computed properties:
ΔE_f (eV/atom): -0.53

```
&SYSTEM
  ibrav = 0, nat = 4, ntyp = 4
/
ATOMIC_SPECIES
Sc 44.96 Sc.upf
Rh 102.91 Rh.upf
Tb 158.93 Tb.upf
Co 58.93 Co.upf
CELL_PARAMETERS angstrom
4.662 0.000 0.000
2.331 4.038 0.000
2.331 1.346 3.807
ATOMIC_POSITIONS angstrom
Sc 0.000 0.000 0.000
Rh 6.993 4.038 2.855
Tb 4.662 2.692 1.903
Co 2.331 1.346 0.952
```

No. 5
A relaxed ThScCoRh crystal, computed with GGA-PBE. Values from VASP.

Computed properties:
ΔE_f (eV/atom): -0.50

```
&SYSTEM
  ibrav = 0, nat = 4, ntyp = 4
/
ATOMIC_SPECIES
Co 58.93 Co.upf
Th 232.04 Th.upf
Sc 44.96 Sc.upf
Rh 102.91 Rh.upf
CELL_PARAMETERS angstrom
-4.274 1.002 -1.882
-3.841 0.304 2.823
-2.034 4.244 0.817
ATOMIC_POSITIONS angstrom
Co -2.537 1.387 0.439
Th -5.075 2.775 0.879
Sc 0.000 0.000 0.000
Rh -7.612 4.162 1.318
```

No. 6
A relaxed ScCoRh2W crystal, computed with GGA-PBE. Values from VASP.

Computed properties:
ΔE_f (eV/atom): 1.81

```
&SYSTEM
  ibrav = 0, nat = 5, ntyp = 4
/
ATOMIC_SPECIES
Sc 44.96 Sc.upf
Rh 102.91 Rh.upf
Co 58.93 Co.upf
W 183.84 W.upf
CELL_PARAMETERS angstrom
-1.944 -1.008 3.890
-1.113 -4.319 -1.675
3.881 -1.592 1.527
ATOMIC_POSITIONS angstrom
Sc 0.000 0.000 0.000
Rh -0.972 -0.504 1.945
Rh 1.940 -0.796 0.763
Co 0.412 -3.459 1.871
W -0.556 -2.159 -0.838
```

Which raw total energy belongs to each record? In order, -36.1 -27.3 -34.3 -27.5 -30.2 -32.0 eV/f.u..
Which size of the total moment belongs to each record? In order, 0.00 1.03 0.95 0.43 0.00 0.00 μB/f.u..